Entry 1:
Density functional theory data (GGA-PBE) for a relaxed structure of ZnTc2RuN.

CIF file:
```
data_ZnTc2RuN
_cell_length_a 4.0218
_cell_length_b 4.0218
_cell_length_c 4.0676
_cell_angle_alpha 90.00
_cell_angle_beta 90.00
_cell_angle_gamma 90.00
_symmetry_space_group_name_H-M 'P 1'
_symmetry_Int_Tables_number 1
loop_
_symmetry_equiv_pos_as_xyz
'x,y,z'
loop_
_atom_site_label
_atom_site_fract_x
_atom_site_fract_y
_atom_site_fract_z
Zn1 0.0000 0.0000 0.0000
Tc1 0.0000 0.5000 0.5000
Tc2 0.5000 0.0000 0.5000
Ru1 0.5000 0.5000 0.0000
N1 0.5000 0.5000 0.5000
```


Entry 2:
# ZrSc2Zn6, relaxed, DFT GGA-PBE
# calculated formation energy: -0.34 eV per atom
data_ZrSc2Zn6
_cell_length_a 7.5637
_cell_length_b 7.5637
_cell_length_c 3.1706
_cell_angle_alpha 90.00
_cell_angle_beta 90.00
_cell_angle_gamma 120.00
_symmetry_space_group_name_H-M 'P 1'
_symmetry_Int_Tables_number 1
loop_
_symmetry_equiv_pos_as_xyz
'x,y,z'
loop_
_atom_site_label
_atom_site_fract_x
_atom_site_fract_y
_atom_site_fract_z
Zr1 0.0000 0.0000 0.0000
Sc1 0.3333 0.6667 0.0000
Sc2 0.6667 0.3333 0.0000
Zn1 0.0000 0.3333 0.5000
Zn2 0.0000 0.6667 0.5000
Zn3 0.3333 0.0000 0.5000
Zn4 0.3333 0.3333 0.5000
Zn5 0.6667 0.0000 0.5000
Zn6 0.6667 0.6667 0.5000


Entry 3:
# LiMg2C2, relaxed, DFT GGA-PBE
# offset from the most stable computed form: 89 kJ/mol of formula units
# calculated formation energy: 1.09 eV per atom
data_LiMg2C2
_cell_length_a 5.2472
_cell_length_b 5.2472
_cell_length_c 5.2472
_cell_angle_alpha 133.09
_cell_angle_beta 133.09
_cell_angle_gamma 68.51
_symmetry_space_group_name_H-M 'P 1'
_symmetry_Int_Tables_number 1
loop_
_symmetry_equiv_pos_as_xyz
'x,y,z'
loop_
_atom_site_label
_atom_site_fract_x
_atom_site_fract_y
_atom_site_fract_z
Li1 0.0000 0.0000 0.0000
Mg1 0.3209 0.3209 0.0000
Mg2 0.6791 0.6791 0.0000
C1 0.2500 0.7500 0.5000
C2 0.7500 0.2500 0.5000


Entry 4:
# RbGa3Ag2, relaxed, DFT GGA-PBE
# calculated formation energy: -0.05 eV per atom
data_RbGa3Ag2
_cell_length_a 7.1301
_cell_length_b 7.1301
_cell_length_c 5.6789
_cell_angle_alpha 90.00
_cell_angle_beta 90.00
_cell_angle_gamma 75.66
_symmetry_space_group_name_H-M 'P 1'
_symmetry_Int_Tables_number 1
loop_
_symmetry_equiv_pos_as_xyz
'x,y,z'
loop_
_atom_site_label
_atom_site_fract_x
_atom_site_fract_y
_atom_site_fract_z
Rb1 0.1541 0.8459 0.7500
Rb2 0.8459 0.1541 0.2500
Ga1 0.0383 0.5829 0.2500
Ga2 0.4114 0.5886 0.2500
Ga3 0.4171 0.9617 0.2500
Ga4 0.5829 0.0383 0.7500
Ga5 0.5886 0.4114 0.7500
Ga6 0.9617 0.4171 0.7500
Ag1 0.2916 0.2916 0.0000
Ag2 0.2916 0.2916 0.5000
Ag3 0.7084 0.7084 0.0000
Ag4 0.7084 0.7084 0.5000


Entry 5:
# MgIn3, relaxed, DFT GGA-PBE
# calculated formation energy: -0.04 eV per atom
data_MgIn3
_cell_length_a 3.2496
_cell_length_b 3.2496
_cell_length_c 9.5713
_cell_angle_alpha 90.00
_cell_angle_beta 90.00
_cell_angle_gamma 90.10
_symmetry_space_group_name_H-M 'P 1'
_symmetry_Int_Tables_number 1
loop_
_symmetry_equiv_pos_as_xyz
'x,y,z'
loop_
_atom_site_label
_atom_site_fract_x
_atom_site_fract_y
_atom_site_fract_z
Mg1 0.0000 0.0000 0.0000
In1 0.0000 0.0000 0.5000
In2 0.5000 0.5000 0.2302
In3 0.5000 0.5000 0.7698


Entry 6:
# CuNi2Mo, relaxed, DFT GGA-PBE
# offset from the most stable computed form: 68 kJ/mol of formula units
# calculated formation energy: 0.17 eV per atom
data_CuNi2Mo
_cell_length_a 4.1208
_cell_length_b 4.1208
_cell_length_c 4.1208
_cell_angle_alpha 60.00
_cell_angle_beta 60.00
_cell_angle_gamma 60.00
_symmetry_space_group_name_H-M 'P 1'
_symmetry_Int_Tables_number 1
loop_
_symmetry_equiv_pos_as_xyz
'x,y,z'
loop_
_atom_site_label
_atom_site_fract_x
_atom_site_fract_y
_atom_site_fract_z
Cu1 0.0000 0.0000 0.0000
Ni1 0.5000 0.5000 0.5000
Ni2 0.7500 0.7500 0.7500
Mo1 0.2500 0.2500 0.2500


Entry 7:
Density functional theory data (GGA-PBE) for a relaxed structure of Sr2LiBiH.

CIF file:
```
data_Sr2LiBiH
_cell_length_a 5.3096
_cell_length_b 5.3096
_cell_length_c 4.5835
_cell_angle_alpha 90.00
_cell_angle_beta 90.00
_cell_angle_gamma 90.00
_symmetry_space_group_name_H-M 'P 1'
_symmetry_Int_Tables_number 1
loop_
_symmetry_equiv_pos_as_xyz
'x,y,z'
loop_
_atom_site_label
_atom_site_fract_x
_atom_site_fract_y
_atom_site_fract_z
Sr1 0.0000 0.5000 0.0000
Sr2 0.5000 0.0000 0.0000
Li1 0.0000 0.0000 0.5000
Bi1 0.5000 0.5000 0.5000
H1 0.0000 0.0000 0.0000
```


Entry 8:
# VTcW3, relaxed, DFT GGA-PBE
# offset from the most stable computed form: 209 kJ/mol of formula units
# calculated formation energy: 0.35 eV per atom
data_VTcW3
_cell_length_a 9.1182
_cell_length_b 9.1182
_cell_length_c 4.4268
_cell_angle_alpha 96.76
_cell_angle_beta 96.76
_cell_angle_gamma 117.43
_symmetry_space_group_name_H-M 'P 1'
_symmetry_Int_Tables_number 1
loop_
_symmetry_equiv_pos_as_xyz
'x,y,z'
loop_
_atom_site_label
_atom_site_fract_x
_atom_site_fract_y
_atom_site_fract_z
V1 0.0445 0.9555 0.7500
V2 0.1516 0.8484 0.2500
V3 0.8484 0.1516 0.7500
V4 0.9555 0.0445 0.2500
Tc1 0.3556 0.5060 0.4788
Tc2 0.4940 0.6444 0.0212
Tc3 0.5060 0.3556 0.9788
Tc4 0.6444 0.4940 0.5212
W1 0.0020 0.3501 0.3944
W2 0.1731 0.5733 0.0127
W3 0.1767 0.2766 0.8760
W4 0.2766 0.1767 0.3760
W5 0.3501 0.0020 0.8944
W6 0.4267 0.8269 0.4873
W7 0.5733 0.1731 0.5127
W8 0.6499 0.9980 0.1056
W9 0.7234 0.8233 0.6240
W10 0.8233 0.7234 0.1240
W11 0.8269 0.4267 0.9873
W12 0.9980 0.6499 0.6056


no.,total DFT energy (no corrections) (eV per formula unit)
1,-39.15
2,-31.91
3,-18.11
4,-16.03
5,-9.97
6,-25.81
7,-15.22
8,-56.58